# LaSb2Rh (GGA-PBE, optimized geometry)
# **Uncorrected energy**: -5.98 eV per atom
# **Total moment**: 0.000 μB per atom
# **Calculated density**: 7.94 g/cm3
# **Calculated volume**: 25.4 Å³/atom
data_LaSb2Rh
_symmetry_space_group_name_H-M 'I 4/m m m'
_symmetry_Int_Tables_number 139
_symmetry_space_group_name_Hall '-I 4 2'
_cell_length_a 4.468
_cell_length_b 4.468
_cell_length_c 20.338
_cell_angle_alpha 90.00
_cell_angle_beta 90.00
_cell_angle_gamma 90.00
loop_
_atom_site_label
_atom_site_fract_x
_atom_site_fract_y
_atom_site_fract_z
La1 0.000 0.000 0.124
Sb1 0.000 0.000 0.321
Sb2 0.000 0.500 0.000
Rh1 0.000 0.500 0.250